KLa2Au | SCAN | single point on PBEsol structure

* formation energy from the elements: -281 meV/atom
* magnetic moment: 0.00 μB/atom
* crystal system: orthorhombic
* excess energy over the best structure of this formula in the dataset: 0 meV per atom

a b c (Å): 3.9117 3.9360 21.3152
angles (deg): 90.00 90.00 90.00
Space group Imm2 (No. 44)
Symmetry-distinct sites (fractional):
K: 0.0000 0.0000 0.0000 x2
La: 0.0000 0.0000 0.3388 x2
La: 0.0000 0.5000 0.6788 x2
Au: 0.0000 0.5000 0.2340 x2